[1]
VASP calculation (PBE) on a relaxed AcSmTm2Tl4 crystal.

```
AcSmTm2Tl4
1.0
5.4914 0.0000 0.0000
2.7457 4.7557 0.0000
2.7457 1.5852 9.0247
Ac Tm Tl Sm
1 2 4 1
direct
0.0000 0.0000 0.0000 Ac
0.2489 0.2489 0.2534 Tm
0.7511 0.7511 0.7466 Tm
0.3789 0.3789 0.8632 Tl
0.8721 0.8721 0.3838 Tl
0.1279 0.1279 0.6162 Tl
0.6211 0.6211 0.1368 Tl
0.5000 0.5000 0.5000 Sm
```

Results
Symmetry: R-3m, No. 166
VASP energy: -3.708 eV per atom
Total magnetization: 0.000 μB per atom

[2]
VASP calculation (PBE) on a relaxed GaAgPtPb crystal.

```
GaAgPtPb
1.0
-1.3672 2.4249 1.6728
-3.1980 -1.2900 -0.7430
1.5625 -4.9653 5.3311
Pt Ga Ag Pb
1 1 1 1
direct
0.8753 0.6400 0.8946 Pt
0.3128 0.1199 0.7690 Ga
0.6834 0.7468 0.5037 Ag
0.0418 0.1991 0.2211 Pb
```

Results
Symmetry: P1, No. 1
VASP energy: -4.045 eV per atom
Excess energy over the best structure of this formula in the dataset: 0.18 eV/f.u.
Total magnetization: 0.000 μB per atom

[3]
VASP calculation (PBE) on a relaxed MgFeW2 crystal.

```
MgFeW2
1.0
9.3193 -0.0126 -0.0074
8.9045 2.7497 -0.0074
8.9045 1.3374 2.4025
W Mg Fe
2 1 1
direct
0.9916 0.9916 0.9916 W
0.5084 0.5084 0.5084 W
0.7500 0.7500 0.7500 Mg
0.2500 0.2500 0.2500 Fe
```

Results
Symmetry: R-3m, No. 166
VASP energy: -8.549 eV per atom
Total magnetization: 0.214 μB per atom